{
  "formula": "NaPuS3",
  "functional": "PBE",
  "state": "relaxed",
  "cell": [[-5.3288, 2.9526, -3.3308], [4.0879, -4.5273, -3.3166], [-5.4269, -6.8270, 2.6304]],
  "species": ["S", "S", "S", "Na", "Pu", "S", "Na", "S", "S", "Pu"],
  "fractional_positions": [[0.0000, 0.6144, 0.6609], [0.3856, 0.0000, 0.3391], [0.0000, 0.3856, 0.3391], [0.0000, 0.0000, 0.2870], [0.6667, 0.3333, 0.5000], [0.3856, 0.3856, 0.6609], [0.0000, 0.0000, 0.7130], [0.6144, 0.0000, 0.6609], [0.6144, 0.6144, 0.3391], [0.3333, 0.6667, 0.5000]],
  "dos_ef_per_ev_atom": 1.67,
  "space_group": "P-31m, No. 162",
  "e_tot_ry_per_atom": -0.491,
  "volume_a3_per_atom": 38.03,
  "magmom_total_mub_per_cell": 6.0,
  "raw_formation_energy_ev_per_atom": -1.07
}

***

{
  "formula": "CuAgN2F",
  "functional": "PBE",
  "state": "relaxed",
  "cell": [[-3.4561, -0.8304, 1.9890], [1.0583, -3.9282, 0.1989], [1.9939, 0.7281, 3.7686]],
  "species": ["Ag", "F", "Cu", "N", "N"],
  "fractional_positions": [[0.0000, 0.0000, 0.0000], [0.0000, 0.0000, 0.5000], [0.5000, 0.5000, 0.5000], [0.0000, 0.5000, 0.0000], [0.5000, 0.0000, 0.0000]],
  "dos_ef_per_ev_atom": 0.68,
  "space_group": "P4/mmm, No. 123",
  "e_tot_ry_per_atom": -0.260,
  "volume_a3_per_atom": 14.35,
  "magmom_total_mub_per_cell": 3.0,
  "raw_formation_energy_ev_per_atom": 1.56
}

***

{
  "formula": "Pr2HoAu",
  "functional": "PBE",
  "state": "relaxed",
  "cell": [[-0.4129, 2.8847, 2.4131], [1.4564, -0.2253, 3.4847], [9.0809, 4.9690, -1.4200]],
  "species": ["Ho", "Pr", "Au", "Pr"],
  "fractional_positions": [[0.4994, 0.4994, 0.5019], [0.0727, 0.0727, 0.7818], [0.6672, 0.6672, 0.9984], [0.2607, 0.2607, 0.2178]],
  "dos_ef_per_ev_atom": 1.27,
  "space_group": "R3m, No. 160",
  "e_tot_ry_per_atom": -0.336,
  "volume_a3_per_atom": 31.67,
  "delta_e_f_ev_per_fu": -0.89,
  "magmom_total_mub_per_cell": 0.0
}

***

{
  "formula": "BeReAsBr2",
  "functional": "PBE",
  "state": "relaxed",
  "cell": [[4.5065, 0.0000, 0.0000], [0.0000, 4.5065, 0.0000], [0.0000, 0.0000, 4.5784]],
  "species": ["Be", "As", "Re", "Br", "Br"],
  "fractional_positions": [[0.0000, 0.0000, 0.0000], [0.0000, 0.0000, 0.5000], [0.5000, 0.5000, 0.5000], [0.0000, 0.5000, 0.0000], [0.5000, 0.0000, 0.0000]],
  "dos_ef_per_ev_atom": 1.01,
  "space_group": "P4/mmm, No. 123",
  "e_tot_ry_per_atom": -0.260,
  "volume_a3_per_atom": 18.60,
  "magmom_total_mub_per_cell": 0.0,
  "raw_formation_energy_ev_per_atom": 1.30
}

***

{
  "formula": "Tb2NdSm2",
  "functional": "PBE",
  "state": "relaxed",
  "cell": [[9.2030, 0.7686, 0.1996], [-1.1598, 9.1619, 0.1996], [-3.1830, -3.9299, 3.9096]],
  "species": ["Tb", "Tb", "Sm", "Sm", "Nd", "Tb", "Sm", "Nd", "Sm", "Tb"],
  "fractional_positions": [[0.6792, 0.3208, 0.7500], [0.3208, 0.6792, 0.2500], [0.2638, 0.3855, 0.5712], [0.7362, 0.6145, 0.4288], [0.0714, 0.9286, 0.2500], [0.8003, 0.1997, 0.2500], [0.3855, 0.2638, 0.0712], [0.9286, 0.0714, 0.7500], [0.6145, 0.7362, 0.9288], [0.1997, 0.8003, 0.7500]],
  "dos_ef_per_ev_atom": 1.35,
  "space_group": "C2/c, No. 15",
  "e_tot_ry_per_atom": -0.326,
  "volume_a3_per_atom": 34.66,
  "delta_e_f_ev_per_fu": 1.31,
  "magmom_total_mub_per_cell": 0.0
}

***

{
  "formula": "ScNiHg2",
  "functional": "PBE",
  "state": "relaxed",
  "cell": [[3.3692, 0.0000, 0.0000], [0.0000, 3.3682, 0.0000], [0.0000, 0.0000, 6.5813]],
  "species": ["Ni", "Hg", "Sc", "Hg"],
  "fractional_positions": [[0.5000, 0.5000, 0.2500], [0.0000, 0.0000, 0.4720], [0.5000, 0.5000, 0.7500], [0.0000, 0.0000, 0.0280]],
  "dos_ef_per_ev_atom": 0.84,
  "space_group": "P4/mmm, No. 123",
  "e_tot_ry_per_atom": -0.242,
  "volume_a3_per_atom": 18.67,
  "delta_e_f_ev_per_fu": -0.46,
  "magmom_total_mub_per_cell": 0.3
}

***

{
  "formula": "GaAsW",
  "functional": "PBE",
  "state": "relaxed",
  "cell": [[3.5009, 0.0000, 0.0000], [0.0000, 3.5009, 0.0000], [0.0000, 0.0000, 7.8788]],
  "species": ["Ga", "W", "W", "As", "As", "Ga"],
  "fractional_positions": [[0.5000, 0.5000, 0.0000], [0.0000, 0.5000, 0.7344], [0.5000, 0.0000, 0.2656], [0.5000, 0.0000, 0.6076], [0.0000, 0.5000, 0.3924], [0.0000, 0.0000, 0.0000]],
  "dos_ef_per_ev_atom": 0.31,
  "space_group": "P4/nmm, No. 129",
  "e_tot_ry_per_atom": -0.508,
  "volume_a3_per_atom": 16.09,
  "delta_e_f_ev_per_fu": -0.11,
  "magmom_total_mub_per_cell": 0.0
}

***

{
  "formula": "Sc3CdHg",
  "functional": "PBE",
  "state": "relaxed",
  "cell": [[-1.1681, 2.5349, -4.0630], [-0.1280, -4.1961, -2.5811], [-9.6207, 0.3118, -0.0296]],
  "species": ["Sc", "Hg", "Sc", "Hg", "Cd", "Sc", "Sc", "Sc", "Sc", "Cd"],
  "fractional_positions": [[0.8808, 0.7500, 0.8868], [0.6720, 0.7500, 0.3044], [0.5742, 0.2500, 0.5000], [0.9763, 0.2500, 0.6956], [0.1733, 0.2500, 0.3017], [0.0742, 0.7500, 0.5000], [0.2682, 0.7500, 0.1120], [0.7675, 0.2500, 0.1132], [0.3802, 0.2500, 0.8880], [0.4750, 0.7500, 0.6983]],
  "dos_ef_per_ev_atom": 1.06,
  "space_group": "Cmcm, No. 63",
  "e_tot_ry_per_atom": -0.317,
  "volume_a3_per_atom": 22.60,
  "delta_e_f_ev_per_fu": -1.36,
  "magmom_total_mub_per_cell": 3.1
}

***

{
  "formula": "Mg2MnCo3S8",
  "functional": "PBE",
  "state": "relaxed",
  "cell": [[6.0229, -3.4891, 0.0013], [6.0229, 3.4891, 0.0013], [4.0005, 0.0000, 5.6961]],
  "species": ["S", "Mn", "Mg", "Co", "S", "S", "Mg", "S", "S", "Co", "Co", "S", "S", "S"],
  "fractional_positions": [[0.2682, 0.2682, 0.2682], [0.5000, 0.5000, 0.5000], [0.8749, 0.8749, 0.8749], [0.5000, 0.0000, 0.5000], [0.7363, 0.3019, 0.7363], [0.3019, 0.7363, 0.7363], [0.1251, 0.1251, 0.1251], [0.7318, 0.7318, 0.7318], [0.7363, 0.7363, 0.3019], [0.5000, 0.5000, 0.0000], [0.0000, 0.5000, 0.5000], [0.6981, 0.2637, 0.2637], [0.2637, 0.6981, 0.2637], [0.2637, 0.2637, 0.6981]],
  "dos_ef_per_ev_atom": 0.24,
  "space_group": "R-3m, No. 166",
  "e_tot_ry_per_atom": -0.397,
  "volume_a3_per_atom": 17.10,
  "magmom_total_mub_per_cell": 2.1,
  "raw_formation_energy_ev_per_atom": -0.64
}

***

{
  "formula": "NaLiO",
  "functional": "PBE",
  "state": "relaxed",
  "cell": [[-2.3329, -2.3619, -0.4440], [1.8044, 0.0623, 2.8210], [-4.6249, 4.0288, 2.8692]],
  "species": ["Na", "O", "Li", "Na", "O", "Li"],
  "fractional_positions": [[0.0000, 0.0000, 0.0000], [0.6667, 0.3333, 0.7500], [0.3333, 0.6667, 0.7500], [0.0000, 0.0000, 0.5000], [0.3333, 0.6667, 0.2500], [0.6667, 0.3333, 0.2500]],
  "dos_ef_per_ev_atom": 0.00,
  "space_group": "P6_3/mmc, No. 194",
  "e_tot_ry_per_atom": -0.307,
  "volume_a3_per_atom": 10.96,
  "magmom_total_mub_per_cell": 0.0,
  "raw_formation_energy_ev_per_atom": -1.45
}

***

{
  "formula": "YCdRh2",
  "functional": "PBE",
  "state": "relaxed",
  "cell": [[8.3144, 0.0000, -0.0015], [0.0000, 4.4065, 0.0000], [-4.5574, 0.0000, 8.3940]],
  "species": ["Y", "Rh", "Y", "Rh", "Cd", "Rh", "Rh", "Rh", "Y", "Rh", "Rh", "Y", "Rh", "Cd", "Cd", "Cd"],
  "fractional_positions": [[0.8122, 0.5000, 0.2122], [0.0000, 0.5000, 0.0000], [0.1878, 0.0000, 0.2878], [0.8298, 0.5000, 0.5129], [0.3921, 0.5000, 0.1582], [0.1702, 0.0000, 0.9871], [0.1702, 0.5000, 0.4871], [0.5000, 0.5000, 0.5000], [0.1878, 0.5000, 0.7878], [0.0000, 0.0000, 0.5000], [0.8298, 0.0000, 0.0129], [0.8122, 0.0000, 0.7122], [0.5000, 0.0000, 0.0000], [0.3921, 0.0000, 0.6582], [0.6079, 0.0000, 0.3418], [0.6079, 0.5000, 0.8418]],
  "dos_ef_per_ev_atom": 0.72,
  "space_group": "C2/m, No. 12",
  "e_tot_ry_per_atom": -0.442,
  "volume_a3_per_atom": 19.22,
  "delta_e_f_ev_per_fu": -1.97,
  "magmom_total_mub_per_cell": 0.0
}

***

{
  "formula": "Th8CoTc3Se4",
  "functional": "PBE",
  "state": "relaxed",
  "cell": [[8.1708, 0.0000, 0.0000], [0.0000, 8.7345, 0.3830], [-4.0854, -4.0754, 5.7847]],
  "species": ["Th", "Se", "Tc", "Th", "Se", "Se", "Se", "Th", "Tc", "Th", "Th", "Th", "Tc", "Th", "Th", "Co"],
  "fractional_positions": [[0.2370, 0.7122, 0.9754], [0.5000, 0.0000, 0.5000], [0.0000, 0.5000, 0.5000], [0.7383, 0.7122, 0.9754], [0.0000, 0.0000, 0.5000], [0.0000, 0.0000, 0.0000], [0.5000, 0.0000, 0.0000], [0.7630, 0.2878, 0.0246], [0.5000, 0.5000, 0.0000], [0.2617, 0.2878, 0.0246], [0.7630, 0.2877, 0.5259], [0.2608, 0.2826, 0.5216], [0.5000, 0.5000, 0.5000], [0.2370, 0.7123, 0.4741], [0.7392, 0.7174, 0.4784], [0.0000, 0.5000, 0.0000]],
  "dos_ef_per_ev_atom": 0.56,
  "space_group": "R-3m, No. 166",
  "e_tot_ry_per_atom": -0.573,
  "volume_a3_per_atom": 26.60,
  "magmom_total_mub_per_cell": 0.0,
  "raw_formation_energy_ev_per_atom": -0.82
}